[1]
Computed, not measured: a relaxed CrCdSbTe2 crystal at the PBE level of DFT.

Lattice parameters (Å, degrees): 5.302 5.302 5.088 90.00 90.00 90.00
Fractional positions:
Cr 0.000 0.000 0.000
Cd 0.500 0.500 0.500
Sb 0.000 0.000 0.500
Te 0.000 0.500 0.000
Te 0.500 0.000 0.000

Computed properties:
Raw formation energy = 0.34 eV per atom
ΔE to the lowest computed polymorph = 0 meV per atom



[2]
Computed, not measured: a relaxed PuHf3Zr2N6 crystal at the PBE level of DFT.

Lattice parameters (Å, degrees): 7.330 7.330 6.587 103.59 103.59 25.62
Fractional positions:
Pu 0.000 0.000 0.000
Hf 0.000 0.000 0.500
Hf 0.333 0.333 0.167
Hf 0.667 0.667 0.833
Zr 0.333 0.333 0.667
Zr 0.667 0.667 0.333
N 0.164 0.164 0.590
N 0.174 0.174 0.078
N 0.498 0.498 0.267
N 0.502 0.502 0.733
N 0.826 0.826 0.922
N 0.836 0.836 0.410

Computed properties:
Raw formation energy = -1.69 eV per atom



[3]
Computed, not measured: a relaxed Ca2SiIr crystal at the PBE level of DFT.

Lattice parameters (Å, degrees): 5.671 5.671 5.671 139.66 128.02 67.78
Fractional positions:
Ca 0.000 0.000 0.000
Ca 0.704 0.204 0.500
Si 0.423 0.423 0.000
Ir 0.297 0.797 0.500

Computed properties:
Raw formation energy = -0.45 eV per atom



[4]
Computed, not measured: a relaxed HoPRh3 crystal at the PBE level of DFT.

Lattice parameters (Å, degrees): 5.937 5.937 5.937 140.76 140.76 56.69
Fractional positions:
Ho 0.000 0.000 0.000
P 0.633 0.633 0.000
Rh 0.244 0.744 0.500
Rh 0.422 0.422 0.000
Rh 0.744 0.244 0.500

Computed properties:
ΔE to the lowest computed polymorph = 0 meV per atom
Energy of formation = -87 kJ per mole of atoms